No. 1
{
  "formula": "MgPOsCl2",
  "functional": "PBE",
  "state": "relaxed",
  "cell": [[-2.856, 3.581, 1.892], [-3.648, -1.270, -3.105], [-1.601, -2.898, 3.067]],
  "species": ["Mg", "Cl", "Cl", "Os", "P"],
  "fractional_positions": [[0.500, 0.500, 0.500], [0.000, 0.500, 0.000], [0.500, 0.000, 0.000], [0.000, 0.000, 0.000], [0.000, 0.000, 0.500]],
  "raw_formation_energy_ev_per_atom": 0.187,
  "de_polymorph_mev_per_atom": 0
}

No. 2
{
  "formula": "MgP2OsCl",
  "functional": "PBE",
  "state": "relaxed",
  "cell": [[-2.928, -2.865, -1.900], [2.093, 0.494, -3.971], [3.225, -4.087, 1.192]],
  "species": ["Mg", "Os", "Cl", "P", "P"],
  "fractional_positions": [[0.500, 0.500, 0.500], [0.000, 0.000, 0.000], [0.000, 0.000, 0.500], [0.000, 0.500, 0.000], [0.500, 0.000, 0.000]],
  "raw_formation_energy_ev_per_atom": 0.281,
  "de_polymorph_mev_per_atom": 0
}

No. 3
{
  "formula": "MgP2OsCl",
  "functional": "PBE",
  "state": "relaxed",
  "cell": [[4.831, 0.000, 0.000], [0.000, 4.831, 0.000], [0.000, 0.000, 4.509]],
  "species": ["P", "P", "Mg", "Cl", "Os"],
  "fractional_positions": [[0.500, 0.000, 0.000], [0.000, 0.500, 0.000], [0.000, 0.000, 0.000], [0.000, 0.000, 0.500], [0.500, 0.500, 0.500]],
  "raw_formation_energy_ev_per_atom": 1.368,
  "de_polymorph_mev_per_atom": 1087
}

No. 4
{
  "formula": "MgPOsCl2",
  "functional": "PBE",
  "state": "relaxed",
  "cell": [[-1.913, 3.918, 0.721], [-5.648, -2.349, -2.222], [-1.078, -1.279, 4.091]],
  "species": ["Cl", "Cl", "Mg", "P", "Os"],
  "fractional_positions": [[0.000, 0.000, 0.500], [0.500, 0.000, 0.000], [0.000, 0.000, 0.000], [0.500, 0.500, 0.500], [0.000, 0.500, 0.000]],
  "raw_formation_energy_ev_per_atom": 0.774,
  "de_polymorph_mev_per_atom": 587
}

No. 5
{
  "formula": "MgPOsCl2",
  "functional": "PBE",
  "state": "relaxed",
  "cell": [[4.458, 0.000, 0.000], [0.000, 4.458, 0.000], [0.000, 0.000, 5.880]],
  "species": ["Mg", "Os", "Cl", "Cl", "P"],
  "fractional_positions": [[0.000, 0.000, 0.000], [0.500, 0.500, 0.500], [0.500, 0.000, 0.000], [0.000, 0.500, 0.000], [0.000, 0.000, 0.500]],
  "raw_formation_energy_ev_per_atom": 0.747,
  "de_polymorph_mev_per_atom": 561
}

No. 6
{
  "formula": "Rb2MgOsCl6",
  "functional": "PBE",
  "state": "relaxed",
  "cell": [[-7.189, 0.063, 0.948], [-0.950, -0.412, -7.177], [-4.074, -4.714, -2.853]],
  "species": ["Os", "Mg", "Cl", "Cl", "Cl", "Cl", "Cl", "Cl", "Rb", "Rb"],
  "fractional_positions": [[0.000, 0.000, 0.000], [0.500, 0.500, 0.000], [0.239, 0.239, 0.000], [0.239, 0.761, 0.000], [0.761, 0.761, 0.000], [0.746, 0.746, 0.509], [0.761, 0.239, 0.000], [0.254, 0.254, 0.491], [0.750, 0.250, 0.500], [0.250, 0.750, 0.500]],
  "raw_formation_energy_ev_per_atom": -1.152
}

No. 7
{
  "formula": "MgOsS2Cl",
  "functional": "PBE",
  "state": "relaxed",
  "cell": [[-0.581, 4.603, 1.371], [-2.303, -1.479, 3.989], [3.952, -0.163, 2.221]],
  "species": ["Os", "Mg", "Cl", "S", "S"],
  "fractional_positions": [[0.500, 0.500, 0.500], [0.000, 0.000, 0.000], [0.000, 0.000, 0.500], [0.000, 0.500, 0.000], [0.500, 0.000, 0.000]],
  "raw_formation_energy_ev_per_atom": 0.865,
  "de_polymorph_mev_per_atom": 756
}

No. 8
{
  "formula": "MgOsS2Cl",
  "functional": "PBE",
  "state": "relaxed",
  "cell": [[-4.229, -0.773, -1.639], [-1.615, -0.281, 4.299], [-0.888, 4.889, -0.014]],
  "species": ["S", "S", "Os", "Cl", "Mg"],
  "fractional_positions": [[0.000, 0.500, 0.000], [0.500, 0.000, 0.000], [0.000, 0.000, 0.000], [0.000, 0.000, 0.500], [0.500, 0.500, 0.500]],
  "raw_formation_energy_ev_per_atom": 0.109,
  "de_polymorph_mev_per_atom": 0
}

No. 9
{
  "formula": "MgOsSeCl2",
  "functional": "PBE",
  "state": "relaxed",
  "cell": [[5.106, 0.000, 0.000], [0.000, 5.162, 0.000], [0.000, 0.000, 5.106]],
  "species": ["Se", "Cl", "Cl", "Os", "Mg"],
  "fractional_positions": [[0.000, 0.000, 0.000], [0.500, 0.000, 0.000], [0.000, 0.000, 0.500], [0.500, 0.500, 0.500], [0.000, 0.500, 0.000]],
  "raw_formation_energy_ev_per_atom": 1.099
}

No. 10
{
  "formula": "MgSnOs2Cl",
  "functional": "PBE",
  "state": "relaxed",
  "cell": [[4.905, 0.000, 0.000], [0.000, 4.456, 0.000], [0.000, 0.000, 4.905]],
  "species": ["Os", "Os", "Mg", "Cl", "Sn"],
  "fractional_positions": [[0.000, 0.000, 0.500], [0.500, 0.000, 0.000], [0.000, 0.000, 0.000], [0.000, 0.500, 0.000], [0.500, 0.500, 0.500]],
  "raw_formation_energy_ev_per_atom": 1.649
}

No. 11
{
  "formula": "MgTaOs2Cl",
  "functional": "PBE",
  "state": "relaxed",
  "cell": [[-0.269, 3.492, 2.730], [1.581, -2.473, 3.319], [4.139, 1.176, -1.096]],
  "species": ["Ta", "Os", "Os", "Mg", "Cl"],
  "fractional_positions": [[0.000, 0.500, 0.000], [0.500, 0.000, 0.000], [0.000, 0.000, 0.500], [0.500, 0.500, 0.500], [0.000, 0.000, 0.000]],
  "raw_formation_energy_ev_per_atom": 1.247
}

No. 12
{
  "formula": "YMgOsCl2",
  "functional": "PBE",
  "state": "relaxed",
  "cell": [[-0.722, -4.545, -1.707], [-0.127, -1.707, 4.600], [-5.287, 0.786, 0.145]],
  "species": ["Y", "Cl", "Cl", "Mg", "Os"],
  "fractional_positions": [[0.000, 0.000, 0.500], [0.500, 0.000, 0.000], [0.000, 0.500, 0.000], [0.500, 0.500, 0.500], [0.000, 0.000, 0.000]],
  "raw_formation_energy_ev_per_atom": 0.244
}

No. 13
{
  "formula": "MgZrOs2Cl",
  "functional": "PBE",
  "state": "relaxed",
  "cell": [[4.458, 0.000, 0.000], [0.000, 4.618, 0.000], [0.000, 0.000, 4.458]],
  "species": ["Os", "Os", "Mg", "Zr", "Cl"],
  "fractional_positions": [[0.500, 0.000, 0.000], [0.000, 0.000, 0.500], [0.500, 0.500, 0.500], [0.000, 0.500, 0.000], [0.000, 0.000, 0.000]],
  "raw_formation_energy_ev_per_atom": 0.912
}

No. 14
{
  "formula": "MgP3Cl",
  "functional": "PBE",
  "state": "relaxed",
  "cell": [[-3.081, -0.272, -3.730], [2.457, -3.790, -1.754], [-2.819, -3.007, 2.548]],
  "species": ["Cl", "Mg", "P", "P", "P"],
  "fractional_positions": [[0.500, 0.500, 0.500], [0.000, 0.000, 0.000], [0.000, 0.000, 0.500], [0.000, 0.500, 0.000], [0.500, 0.000, 0.000]],
  "raw_formation_energy_ev_per_atom": 1.069,
  "de_polymorph_mev_per_atom": 29
}

No. 15
{
  "formula": "Mg2PCl",
  "functional": "PBE",
  "state": "relaxed",
  "cell": [[5.106, -0.020, 0.044], [-0.309, 5.097, -0.044], [-1.162, -3.706, 3.314]],
  "species": ["Cl", "Mg", "Mg", "P"],
  "fractional_positions": [[0.250, 0.750, 0.500], [0.982, 0.982, 0.000], [0.518, 0.518, 0.000], [0.750, 0.250, 0.500]],
  "raw_formation_energy_ev_per_atom": -0.664,
  "de_polymorph_mev_per_atom": 337
}

No. 16
{
  "formula": "Mg2PCl",
  "functional": "PBE",
  "state": "relaxed",
  "cell": [[3.146, 0.032, 0.000], [-0.033, 3.146, 0.000], [0.000, 0.000, 9.270]],
  "species": ["Mg", "Mg", "P", "Cl"],
  "fractional_positions": [[0.500, 0.500, 0.266], [0.000, 0.000, 0.976], [0.000, 0.000, 0.428], [0.500, 0.500, 0.829]],
  "raw_formation_energy_ev_per_atom": -0.366,
  "de_polymorph_mev_per_atom": 635
}

No. 17
{
  "formula": "MgPCl6",
  "functional": "PBE",
  "state": "relaxed",
  "cell": [[-0.989, 4.857, -3.703], [-5.317, 3.143, 0.368], [0.130, 6.000, 2.666]],
  "species": ["Cl", "Cl", "Cl", "Cl", "Cl", "Cl", "P", "Mg"],
  "fractional_positions": [[0.382, 0.770, 0.760], [0.770, 0.088, 0.760], [0.618, 0.230, 0.240], [0.912, 0.618, 0.240], [0.088, 0.382, 0.760], [0.230, 0.912, 0.240], [0.000, 0.000, 0.000], [0.500, 0.500, 0.500]],
  "raw_formation_energy_ev_per_atom": -0.814
}

No. 18
{
  "formula": "Mg2PCl",
  "functional": "PBE",
  "state": "relaxed",
  "cell": [[0.000, 3.337, 3.337], [3.337, 0.000, 3.337], [3.337, 3.337, 0.000]],
  "species": ["Mg", "Mg", "Cl", "P"],
  "fractional_positions": [[0.750, 0.750, 0.750], [0.250, 0.250, 0.250], [0.500, 0.500, 0.500], [0.000, 0.000, 0.000]],
  "raw_formation_energy_ev_per_atom": -0.601,
  "de_polymorph_mev_per_atom": 401
}

No. 19
{
  "formula": "MgPCl2",
  "functional": "PBE",
  "state": "relaxed",
  "cell": [[-5.840, 3.222, -3.767], [-6.329, -2.480, -3.531], [4.795, 0.808, 5.919]],
  "species": ["Mg", "Cl", "Cl", "P"],
  "fractional_positions": [[0.532, 0.532, 0.000], [0.650, 0.150, 0.500], [0.936, 0.936, 0.000], [0.383, 0.883, 0.500]],
  "raw_formation_energy_ev_per_atom": -0.597,
  "de_polymorph_mev_per_atom": 87
}

No. 20
{
  "formula": "Mg2PCl",
  "functional": "PBE",
  "state": "relaxed",
  "cell": [[-3.105, 10.782, -0.036], [-5.369, 9.612, -2.163], [-5.928, 9.461, 1.106]],
  "species": ["Mg", "Mg", "P", "Cl"],
  "fractional_positions": [[0.254, 0.254, 0.254], [0.001, 0.001, 0.001], [0.532, 0.532, 0.532], [0.713, 0.713, 0.713]],
  "raw_formation_energy_ev_per_atom": -0.367,
  "de_polymorph_mev_per_atom": 635
}

In order of appearance, magnetization = 0.0, 0.0, 2.5, 2.0, 3.8, 0.0, 3.9, 0.0, 3.6, 3.5, 0.0, 0.0, 0.0, 0.2, 0.0, 0.0, 0.8, 0.0, 0.0, 0.2 μB/f.u..